# 1
VASP calculation (GGA-PBE) on an optimized crystal structure of LaCeGdZn.

Cell: 5.3726 5.3726 5.3726 Å, 60.00 60.00 60.00°
Closest atoms and distances in Å follow each position.
Fractional positions:
Gd 0.7500 0.7500 0.7500  4 Zn 3.29, 4 Ce 3.29
Zn 0.0000 0.0000 0.0000  4 La 3.29, 4 Gd 3.29
Ce 0.5000 0.5000 0.5000  4 Gd 3.29, 4 La 3.29
La 0.2500 0.2500 0.2500  4 Ce 3.29, 4 Zn 3.29

Computed properties:
V in Å³ per cell: 110
Final energy in eV/atom: -6.4853
Spin magnetization in μB per formula unit: 10.31
Space group: No. 216

=====

# 2
VASP calculation (GGA-PBE) on an optimized crystal structure of TlSn3Se.

Cell: 5.7171 5.7171 5.7171 Å, 90.00 90.00 90.00°
Closest atoms and distances in Å follow each position.
Fractional positions:
Se 0.5000 0.5000 0.5000  12 Sn 4.04
Sn 0.5000 0.0000 0.0000  2 Tl 2.86
Tl 0.0000 0.0000 0.0000  6 Sn 2.86
Sn 0.0000 0.0000 0.5000  2 Tl 2.86
Sn 0.0000 0.5000 0.0000  2 Tl 2.86

Computed properties:
V in Å³ per cell: 187
Formation energy without anion corrections in eV/atom: 0.708
Final energy in eV/atom: -2.8641
Spin magnetization in μB per formula unit: 0.00
Space group: No. 221
Excess energy over the best structure of this formula in the dataset in eV/atom: 0.4150

=====

# 3
VASP calculation (GGA-PBE) on an optimized crystal structure of BeSi2Ir.

Cell: 2.8314 2.8314 7.8264 Å, 90.00 90.00 121.24°
Closest atoms and distances in Å follow each position.
Fractional positions:
Si 0.0000 0.0000 0.0112  2 Be 2.33, 2 Ir 2.47
Ir 0.5000 0.5000 0.7500  4 Si 2.47
Be 0.5000 0.5000 0.2500  4 Si 2.33
Si 0.0000 0.0000 0.4888  2 Be 2.33, 2 Ir 2.47

Computed properties:
V in Å³ per cell: 54
Formation energy without anion corrections in eV/atom: 0.194
Final energy in eV/atom: -5.6644
Spin magnetization in μB per formula unit: 0.00
Space group: No. 65

=====

# 4
VASP calculation (GGA-PBE) on an optimized crystal structure of Zn2Ga2Fe7.

Cell: 5.0370 5.0370 6.1657 Å, 100.35 100.35 71.83°
Closest atoms and distances in Å follow each position.
Fractional positions:
Zn 0.4457 0.4457 0.6705  1 Zn 2.46, 7 Fe 2.52-2.62, 2 Ga 2.60
Fe 0.4902 0.0679 0.3197  5 Fe 2.42-2.55, 3 Zn 2.52-2.60, 1 Ga 2.66
Fe 0.0000 0.0000 0.5000  4 Fe 2.55
Fe 0.7388 0.7388 0.0320  4 Fe 2.43-2.48, 4 Ga 2.52-2.55, 1 Zn 2.62
Fe 0.5098 0.9321 0.6803  5 Fe 2.42-2.55, 3 Zn 2.52-2.60, 1 Ga 2.66
Fe 0.9321 0.5098 0.6803  5 Fe 2.42-2.55, 3 Zn 2.52-2.60, 1 Ga 2.66
Zn 0.5543 0.5543 0.3295  1 Zn 2.46, 7 Fe 2.52-2.62, 2 Ga 2.60
Ga 0.2140 0.7860 0.0000  6 Fe 2.52-2.66, 1 Ga 2.53, 2 Zn 2.60
Fe 0.2612 0.2612 0.9680  4 Fe 2.43-2.48, 4 Ga 2.52-2.55, 1 Zn 2.62
Ga 0.7860 0.2140 0.0000  6 Fe 2.52-2.66, 1 Ga 2.53, 2 Zn 2.60
Fe 0.0679 0.4902 0.3197  5 Fe 2.42-2.55, 3 Zn 2.52-2.60, 1 Ga 2.66

Computed properties:
V in Å³ per cell: 145
Final energy in eV/atom: -5.9983
Spin magnetization in μB per formula unit: 16.27
Space group: No. 12

=====

# 5
VASP calculation (GGA-PBE) on an optimized crystal structure of IrPt3.

Cell: 4.8738 4.8738 4.8738 Å, 90.00 90.00 90.00°
Closest atoms and distances in Å follow each position.
Fractional positions:
Ir 0.0000 0.0000 0.0000  6 Pt 2.44
Pt 0.0000 0.5000 0.0000  2 Ir 2.44
Pt 0.0000 0.0000 0.5000  2 Ir 2.44
Pt 0.5000 0.0000 0.0000  2 Ir 2.44

Computed properties:
V in Å³ per cell: 116
Final energy in eV/atom: -5.0178
Spin magnetization in μB per formula unit: 0.00
Space group: No. 221

=====

# 6
VASP calculation (GGA-PBE) on an optimized crystal structure of KSe3.

Cell: 6.6961 6.6961 8.2431 Å, 90.43 90.43 56.16°
Closest atoms and distances in Å follow each position.
Fractional positions:
K 0.1306 0.1497 0.2882  6 Se 3.37-3.59
Se 0.8746 0.7339 0.1343  2 Se 2.36-2.42
Se 0.9497 0.3113 0.6747  1 Se 2.36
Se 0.6887 0.0503 0.3253  1 Se 2.36
Se 0.2943 0.5924 0.1227  2 Se 2.42-2.44
Se 0.2661 0.1254 0.8657  2 Se 2.36-2.42
K 0.8503 0.8694 0.7118  6 Se 3.37-3.59
Se 0.4076 0.7057 0.8773  2 Se 2.42-2.44

Computed properties:
V in Å³ per cell: 307
Formation energy without anion corrections in eV/atom: -0.475
Final energy in eV/atom: -3.3626
Spin magnetization in μB per formula unit: 0.00
Space group: No. 5
Excess energy over the best structure of this formula in the dataset in eV/atom: 0.0000